Entry 1:
The following is a PBE calculation of a geometry-optimized PaAsAu structure, from Alexandria.

Cell lengths 4.1162, 4.3727, 4.3727 Å; angles 120.00, 90.00, 90.00 degrees
Last column: magnetic moment on the atom in μB.
Fractional positions:
Au: 0.2957 0.3333 0.6667  0.00
Pa: 0.6561 0.6667 0.3333  0.86
As: 0.0482 0.0000 0.0000  -0.01

Output
- Space group: P3m1, No. 156
- Formation energy from the elements: -1.5 eV per formula unit
- Energy above the most stable polymorph in this dataset: 4.2 kJ/mol of formula units
- Energy: -6.30 eV per atom

***

Entry 2:
The following is a PBE calculation of a geometry-optimized PaAsAu structure, from Alexandria.

Cell lengths 3.8036, 3.8036, 5.2608 Å; angles 111.19, 111.19, 90.00 degrees
Last column: magnetic moment on the atom in μB.
Fractional positions:
As: 0.3270 0.3270 0.6541  -0.02
Au: 0.0005 0.0005 0.0011  0.01
Pa: 0.6724 0.6724 0.3448  0.61

Output
- Space group: I4mm, No. 107
- Formation energy from the elements: -1.5 eV per formula unit
- Energy above the most stable polymorph in this dataset: 0.0 kJ/mol of formula units
- Energy: -6.31 eV per atom

***

Entry 3:
The following is a PBE calculation of a geometry-optimized PmPaAsAu structure, from Alexandria.

Cell lengths 5.1427, 5.1427, 5.1427 Å; angles 60.00, 60.00, 60.00 degrees
Last column: magnetic moment on the atom in μB.
Fractional positions:
As: 0.0000 0.0000 0.0000  -0.01
Pa: 0.7500 0.7500 0.7500  1.50
Au: 0.5000 0.5000 0.5000  0.08
Pm: 0.2500 0.2500 0.2500  0.45

Output
- Space group: F-43m, No. 216
- Formation energy from the elements: -2.2 eV per formula unit
- Energy: -6.11 eV per atom

***

Entry 4:
The following is a PBE calculation of a geometry-optimized PuPaAsAu structure, from Alexandria.

Cell lengths 5.0858, 5.0858, 5.0858 Å; angles 60.00, 60.00, 60.00 degrees
Last column: magnetic moment on the atom in μB.
Fractional positions:
Au: 0.0000 0.0000 0.0000  0.12
Pa: 0.7500 0.7500 0.7500  1.62
As: 0.5000 0.5000 0.5000  -0.03
Pu: 0.2500 0.2500 0.2500  5.66

Output
- Space group: F-43m, No. 216
- Formation energy from the elements: -2.0 eV per formula unit
- Energy: -8.43 eV per atom

***

Entry 5:
The following is a PBE calculation of a geometry-optimized Pa2As2AuS2 structure, from Alexandria.

Cell lengths 4.4221, 4.4221, 11.4326 Å; angles 90.00, 90.00, 120.00 degrees
Last column: magnetic moment on the atom in μB.
Fractional positions:
Pa: 0.6667 0.3333 0.3335  0.44
S: 0.6667 0.3333 0.5812  -0.02
Pa: 0.3333 0.6667 0.6665  0.44
S: 0.3333 0.6667 0.4188  -0.02
Au: 0.0000 0.0000 0.0000  0.00
As: 0.0000 0.0000 0.2130  -0.02
As: 0.0000 0.0000 0.7870  -0.02

Output
- Space group: P-3m1, No. 164
- Uncorrected formation energy: -0.882 eV per atom
- Energy: -6.57 eV per atom

***

Entry 6:
The following is a PBE calculation of a geometry-optimized SrPaAs3Au structure, from Alexandria.

Cell lengths 4.2658, 7.4442, 9.4454 Å; angles 97.15, 90.00, 90.00 degrees
Fractional positions:
As: 0.7500 0.2704 0.5876
Sr: 0.7500 0.7022 0.6810
As: 0.7500 0.5140 0.1437
Pa: 0.2500 0.7620 0.1070
As: 0.7500 0.0252 0.1412
Sr: 0.2500 0.2978 0.3190
Au: 0.7500 0.9358 0.4004
As: 0.2500 0.9748 0.8588
Pa: 0.7500 0.2380 0.8930
As: 0.2500 0.4860 0.8563
Au: 0.2500 0.0642 0.5996
As: 0.2500 0.7296 0.4124

Output
- Space group: P2_1/m, No. 11
- Formation energy from the elements: -4.6 eV per formula unit
- Energy: -5.50 eV per atom